Entry 1:
PBE Cs2ZnAg2, optimized geometry; SG = No. 139; DOS at the Fermi energy = 0.735 states/eV/atom; polymorph energy (0 for the lowest one) = 1.07 eV/f.u.; E = -1.53 eV/atom; ΔE_f = 4.856 kcal/mol of atoms
1.0
-2.024 2.024 11.503
2.024 -2.024 11.503
2.024 2.024 -11.503
Cs Zn Ag
2 1 2
Cartesian
0.000 0.000 2.619
0.000 0.000 20.386
0.000 0.000 11.503
2.024 0.000 5.751
0.000 2.024 5.751

=====

Entry 2:
PBE Ba2TaCrGe, optimized geometry; SG = No. 123; DOS at the Fermi energy = 1.367 states/eV/atom; E = -5.10 eV/atom; ΔE_f = 20.542 kcal/mol of atoms
1.0
6.354 0.000 0.000
0.000 6.354 0.000
0.000 0.000 4.999
Ba Ta Cr Ge
2 1 1 1
Cartesian
0.000 3.177 0.000
3.177 0.000 0.000
0.000 0.000 2.500
3.177 3.177 2.500
0.000 0.000 0.000

=====

Entry 3:
PBE LiIrSCl2, optimized geometry; SG = No. 123; DOS at the Fermi energy = 0.994 states/eV/atom; polymorph energy (0 for the lowest one) = 4.68 eV/f.u.; E = -3.12 eV/atom; raw formation energy = 0.6008 eV per atom
1.0
4.042 0.000 0.000
0.000 4.042 0.000
0.000 0.000 6.568
Li Ir S Cl
1 1 1 2
Cartesian
0.000 0.000 0.000
2.021 2.021 3.284
0.000 0.000 3.284
0.000 2.021 0.000
2.021 0.000 0.000

=====

Entry 4:
PBE MoC2, optimized geometry; SG = No. 63; DOS at the Fermi energy = 0.385 states/eV/atom; polymorph energy (0 for the lowest one) = 1.08 eV/f.u.; E = -8.88 eV/atom; ΔE_f = 20.277 kcal/mol of atoms
1.0
2.520 -3.167 0.000
2.520 3.167 0.000
0.000 0.000 4.328
Mo C
2 4
Cartesian
2.520 2.257 3.246
2.520 -2.257 1.082
1.830 1.941 1.082
3.211 1.941 1.082
1.830 -1.941 3.246
3.211 -1.941 3.246

=====

Entry 5:
PBE Li3U2CoN6, optimized geometry; SG = No. 12; E = -7.85 eV/atom; raw formation energy = -0.7357 eV per atom
1.0
2.699 -5.064 0.000
2.699 5.064 0.000
-1.379 0.000 5.088
Li U Co N
3 2 1 6
Cartesian
0.000 0.000 0.000
2.699 1.297 0.000
2.699 -1.297 0.000
2.010 3.413 2.544
2.010 -3.413 2.544
2.010 0.000 2.544
1.074 1.586 1.466
0.260 0.000 3.659
1.074 -1.586 1.466
2.946 1.586 3.622
3.761 0.000 1.428
2.946 -1.586 3.622

=====

Entry 6:
PBE Ca2PrNd2, optimized geometry; SG = No. 127; DOS at the Fermi energy = 1.562 states/eV/atom; polymorph energy (0 for the lowest one) = 0.76 eV/f.u.; E = -3.48 eV/atom; ΔE_f = 4.290 kcal/mol of atoms
1.0
9.602 0.000 0.000
0.000 9.602 0.000
0.000 0.000 4.070
Ca Pr Nd
4 2 4
Cartesian
1.655 3.145 0.000
3.145 7.946 0.000
6.456 1.655 0.000
7.946 6.456 0.000
0.000 0.000 2.035
4.801 4.801 2.035
1.216 6.017 2.035
3.585 1.216 2.035
6.017 8.385 2.035
8.385 3.585 2.035

=====

Entry 7:
PBE SrZrSc4, optimized geometry; SG = No. 216; DOS at the Fermi energy = 2.327 states/eV/atom; E = -5.51 eV/atom; ΔE_f = 9.537 kcal/mol of atoms
1.0
0.000 4.414 4.414
4.414 0.000 4.414
4.414 4.414 0.000
Sr Zr Sc
1 1 4
Cartesian
0.000 0.000 0.000
6.621 6.621 6.621
3.349 3.349 3.349
5.479 5.479 3.349
5.479 3.349 5.479
3.349 5.479 5.479

=====

Entry 8:
PBE LiSnGeBi, optimized geometry; SG = No. 216; DOS at the Fermi energy = 0.244 states/eV/atom; E = -3.59 eV/atom; ΔE_f = 0.221 kcal/mol of atoms
1.0
0.000 3.633 3.633
3.633 0.000 3.633
3.633 3.633 0.000
Li Sn Ge Bi
1 1 1 1
Cartesian
0.000 0.000 0.000
1.816 1.816 1.816
3.633 3.633 3.633
5.449 5.449 5.449

=====

Entry 9:
PBE TaAlNi, optimized geometry; SG = No. 74; DOS at the Fermi energy = 1.059 states/eV/atom; E = -7.58 eV/atom; ΔE_f = -10.418 kcal/mol of atoms
1.0
-2.443 2.517 3.444
2.443 -2.517 3.444
2.443 2.517 -3.444
Ta Al Ni
2 2 2
Cartesian
0.000 1.258 0.877
2.443 1.258 2.567
2.443 0.000 0.000
0.000 0.000 3.444
1.222 1.258 -1.722
1.222 -1.258 1.722

=====

Entry 10:
PBE KNa2Hf, optimized geometry; SG = No. 166; DOS at the Fermi energy = 0.895 states/eV/atom; polymorph energy (0 for the lowest one) = 0.00 eV/f.u.; E = -2.79 eV/atom; ΔE_f = 14.559 kcal/mol of atoms
1.0
1.641 0.947 13.958
-1.641 0.947 13.958
0.000 -1.895 13.958
K Na Hf
1 2 1
Cartesian
0.000 0.000 0.000
0.000 0.000 17.713
0.000 0.000 24.160
0.000 0.000 20.937

=====

Entry 11:
PBE LiInSn, optimized geometry; SG = No. 139; DOS at the Fermi energy = 0.405 states/eV/atom; E = -2.90 eV/atom; ΔE_f = -0.322 kcal/mol of atoms
1.0
-5.900 5.900 2.343
5.900 -5.900 2.343
5.900 5.900 -2.343
Li In Sn
4 4 4
Cartesian
2.461 0.000 0.000
9.339 0.000 0.000
0.000 2.461 0.000
0.000 9.339 0.000
3.682 3.682 0.000
2.217 -2.217 2.343
-2.217 2.217 2.343
2.217 2.217 2.343
5.900 1.561 0.000
1.561 5.900 0.000
4.339 0.000 2.343
0.000 4.339 2.343

=====

Entry 12:
PBE RbTcH2Cl8, optimized geometry; SG = No. 2; DOS at the Fermi energy = 0.720 states/eV/atom; E = -3.54 eV/atom
1.0
6.449 0.000 0.000
1.406 6.392 0.000
1.829 2.124 8.701
Rb Tc H Cl
1 1 2 8
Cartesian
0.000 0.000 0.000
0.914 1.062 4.350
4.360 5.255 2.317
5.324 3.260 6.384
2.094 2.770 5.401
1.477 1.989 2.272
4.255 6.145 4.304
4.442 4.783 1.091
5.242 3.732 7.610
5.429 2.371 4.397
8.206 6.526 6.429
7.590 5.745 3.300

=====

Entry 13:
PBE LiLaTcO6, optimized geometry; SG = No. 1; E = -7.06 eV/atom; raw formation energy = -1.8455 eV per atom
1.0
5.134 0.000 0.000
0.376 5.162 0.000
0.141 2.545 4.741
Li La Tc O
1 1 1 6
Cartesian
0.000 0.000 0.000
2.936 5.156 3.074
5.301 2.576 1.613
1.311 5.811 4.678
1.123 0.988 1.391
1.410 3.248 2.720
4.079 1.932 2.762
4.351 4.162 1.361
4.551 4.475 4.661

=====

Entry 14:
PBE Rb2BeIn, optimized geometry; SG = No. 122; DOS at the Fermi energy = 0.653 states/eV/atom; polymorph energy (0 for the lowest one) = 0.00 eV/f.u.; E = -1.78 eV/atom; ΔE_f = 7.385 kcal/mol of atoms
1.0
-6.706 6.706 2.344
6.706 -6.706 2.344
6.706 6.706 -2.344
Rb Be In
4 2 2
Cartesian
0.824 3.353 0.586
-3.353 5.882 1.758
-0.824 10.059 0.586
3.353 7.529 1.758
0.000 0.000 0.000
0.000 6.706 1.172
6.706 0.000 1.172
0.000 0.000 2.344

=====

Entry 15:
PBE Gd4YHo, optimized geometry; SG = No. 216; DOS at the Fermi energy = 1.965 states/eV/atom; E = -10.99 eV/atom; ΔE_f = 5.554 kcal/mol of atoms
1.0
0.000 4.646 4.646
4.646 0.000 4.646
4.646 4.646 0.000
Gd Y Ho
4 1 1
Cartesian
1.161 1.161 1.161
3.485 3.485 1.161
3.485 1.161 3.485
1.161 3.485 3.485
4.646 4.646 4.646
6.969 6.969 6.969

=====

Entry 16:
PBE Sr3Zn4Pt2, optimized geometry; SG = No. 12; DOS at the Fermi energy = 0.536 states/eV/atom; polymorph energy (0 for the lowest one) = 0.18 eV/f.u.; E = -3.00 eV/atom; ΔE_f = -12.151 kcal/mol of atoms
1.0
5.653 -2.198 0.000
5.653 2.198 0.000
-3.525 0.000 8.781
Sr Zn Pt
3 4 2
Cartesian
0.000 0.000 0.000
3.195 0.000 2.720
4.586 0.000 6.061
0.131 0.000 3.792
-0.204 0.000 8.255
7.985 0.000 0.526
7.650 0.000 4.989
1.332 0.000 6.202
6.449 0.000 2.578

=====

Entry 17:
PBE ScCoPd3, optimized geometry; SG = No. 221; DOS at the Fermi energy = 0.964 states/eV/atom; polymorph energy (0 for the lowest one) = 0.00 eV/f.u.; E = -5.55 eV/atom; ΔE_f = 5.911 kcal/mol of atoms
1.0
4.570 0.000 0.000
0.000 4.570 0.000
0.000 0.000 4.570
Sc Co Pd
1 1 3
Cartesian
0.000 0.000 0.000
2.285 2.285 2.285
0.000 2.285 2.285
2.285 0.000 2.285
2.285 2.285 0.000

=====

Entry 18:
PBE Hf2Mg3NpN6, optimized geometry; SG = No. 12; DOS at the Fermi energy = 0.469 states/eV/atom; E = -8.57 eV/atom; raw formation energy = -1.2715 eV per atom
1.0
7.003 -1.620 0.000
7.003 1.620 0.000
-1.316 0.000 6.287
Hf Mg Np N
2 3 1 6
Cartesian
1.915 0.000 2.148
10.776 0.000 4.139
1.285 0.000 5.238
6.345 0.000 3.143
11.405 0.000 1.049
7.003 0.000 0.000
-0.262 0.000 1.607
4.053 0.000 2.648
3.490 0.000 5.683
9.201 0.000 0.603
8.638 0.000 3.639
12.953 0.000 4.680

=====

Entry 19:
PBE La2S3, optimized geometry; SG = No. 62; E = -6.65 eV/atom; raw formation energy = -2.2009 eV per atom
1.0
7.617 0.000 0.000
0.000 4.161 0.000
0.000 0.000 15.884
La S
8 12
Cartesian
1.117 1.040 3.256
1.798 3.121 7.244
2.011 1.040 15.186
2.691 3.121 11.199
4.925 1.040 4.686
5.606 3.121 0.698
5.819 1.040 8.640
6.500 3.121 12.628
0.090 1.040 6.204
0.981 3.121 1.070
1.106 1.040 12.396
2.702 3.121 4.454
2.827 1.040 9.012
3.718 3.121 14.146
3.899 1.040 1.738
4.789 3.121 6.872
4.914 1.040 11.430
6.510 3.121 3.488
6.636 1.040 14.814
7.526 3.121 9.680

=====

Entry 20:
PBE OsClO2, optimized geometry; SG = No. 166; DOS at the Fermi energy = 0.590 states/eV/atom; polymorph energy (0 for the lowest one) = 1.12 eV/f.u.; E = -5.71 eV/atom; raw formation energy = 0.0364 eV per atom
1.0
1.418 0.818 9.150
-1.418 0.818 9.150
0.000 -1.637 9.150
Os Cl O
1 1 2
Cartesian
0.000 0.000 0.000
0.000 0.000 13.725
0.000 0.000 1.741
0.000 0.000 25.709

=====

Entry 21:
PBE AlPbW, optimized geometry; SG = No. 107; DOS at the Fermi energy = 0.817 states/eV/atom; polymorph energy (0 for the lowest one) = 0.34 eV/f.u.; E = -6.14 eV/atom; ΔE_f = 15.208 kcal/mol of atoms
1.0
-1.489 1.489 6.936
1.489 -1.489 6.936
1.489 1.489 -6.936
Al Pb W
1 1 1
Cartesian
0.000 0.000 0.000
0.000 0.000 4.145
0.000 0.000 8.686